1.
A geometry-optimized Cs12AgHg6 structure. Source: the Alexandria database, functional PBE.

Output
As for the size of the total moment: 0.00 μB per formula unit. As for the formation enthalpy at 0 K: -134 meV/atom.

```
19
Lattice="-6.689 6.689 6.689 6.689 -6.689 6.689 6.689 6.689 -6.689" Properties=species:S:1:pos:R:3 pbc="T T T"
Cs 6.689 -2.744 4.246
Cs 3.944 2.442 0.000
Cs 9.433 2.442 0.000
Cs 4.246 6.689 -2.744
Cs 2.442 0.000 3.944
Cs 0.000 3.944 2.442
Cs 6.689 2.744 4.246
Cs 4.246 6.689 2.744
Cs 2.442 0.000 9.433
Cs -2.744 4.246 6.689
Cs 2.744 4.246 6.689
Cs 0.000 9.433 2.442
Ag 0.000 0.000 0.000
Hg 6.689 0.000 1.517
Hg 6.689 5.172 0.000
Hg 1.517 6.689 0.000
Hg 5.172 0.000 6.689
Hg 0.000 1.517 6.689
Hg 0.000 6.689 5.172
```


2.
A geometry-optimized NaSmMg2 structure. Source: the Alexandria database, functional PBE.

Output
As for the size of the total moment: 0.51 μB per formula unit. As for the formation enthalpy at 0 K: 45 meV/atom. Its distance to the lowest polymorph of the same formula is 0.0 meV per atom.

```
4
Lattice="3.742 0.000 0.000 0.000 3.742 0.000 0.000 0.000 8.239" Properties=species:S:1:pos:R:3 pbc="T T T"
Na 0.000 0.000 0.000
Sm 0.000 0.000 4.119
Mg 1.871 1.871 2.070
Mg 1.871 1.871 6.169
```


3.
A geometry-optimized Pr2RhBr structure. Source: the Alexandria database, functional PBE.

Output
As for the size of the total moment: 0.00 μB per formula unit. The value obtained for the formation energy without anion corrections is -1.052 eV/atom. Its distance to the lowest polymorph of the same formula is 15.8 meV per atom.

```
12
Lattice="4.136 0.000 0.000 -2.068 3.582 0.000 0.000 0.000 23.968" Properties=species:S:1:pos:R:3 pbc="T T T"
Pr 0.000 0.000 0.000
Pr 0.000 0.000 4.874
Pr 0.000 2.388 15.979
Pr 0.000 2.388 20.853
Pr 2.068 1.194 7.989
Pr 2.068 1.194 12.864
Rh 0.000 0.000 14.425
Rh 0.000 2.388 6.435
Rh 2.068 1.194 22.414
Br 0.000 0.000 10.374
Br 0.000 2.388 2.385
Br 2.068 1.194 18.363
```


4.
A geometry-optimized LiCaSN2 structure. Source: the Alexandria database, functional PBE.

Output
As for the size of the total moment: 0.04 μB per formula unit. The value obtained for the formation energy without anion corrections is 0.683 eV/atom. Its distance to the lowest polymorph of the same formula is 0.0 meV per atom.

```
5
Lattice="3.913 0.000 0.000 0.000 3.913 0.000 0.000 0.000 4.431" Properties=species:S:1:pos:R:3 pbc="T T T"
Li 0.000 0.000 0.000
Ca 1.956 1.956 2.216
S 0.000 0.000 2.216
N 0.000 1.956 0.000
N 1.956 0.000 0.000
```


5.
A geometry-optimized CoSe2Cl structure. Source: the Alexandria database, functional PBE.

Output
As for the size of the total moment: 0.00 μB per formula unit. The value obtained for the formation energy without anion corrections is 0.173 eV/atom. Its distance to the lowest polymorph of the same formula is 424.3 meV per atom.

```
4
Lattice="2.884 0.000 0.000 0.000 2.884 0.000 0.000 0.000 10.444" Properties=species:S:1:pos:R:3 pbc="T T T"
Co 0.000 0.000 0.000
Se 0.000 0.000 4.620
Se 1.442 1.442 1.316
Cl 1.442 1.442 8.776
```


6.
A geometry-optimized SbPb8 structure. Source: the Alexandria database, functional PBE.

Output
As for the size of the total moment: 0.00 μB per formula unit. The value obtained for the formation energy without anion corrections is 0.045 eV/atom. Its distance to the lowest polymorph of the same formula is 20.5 meV per atom.

```
9
Lattice="-5.961 5.961 1.984 5.961 -5.961 1.984 5.961 5.961 -1.984" Properties=species:S:1:pos:R:3 pbc="T T T"
Sb 0.000 0.000 0.000
Pb 4.002 0.000 0.000
Pb 7.921 0.000 0.000
Pb 0.000 4.002 0.000
Pb 4.073 4.073 0.000
Pb 1.889 -1.889 1.984
Pb -1.889 1.889 1.984
Pb 1.889 1.889 1.984
Pb 0.000 7.921 0.000
```